Entry 1:
Nb3CuBi: relaxed, PBE-GGA.

## Properties
For the total moment, the calculation gives 0.00 Bohr magnetons per cell. The calculation puts the polymorph energy (0 for the lowest one) at 1268 meV/atom. For the density of states at the Fermi level, the calculation gives 1.66 states/eV per atom. For the theoretical density, the calculation gives 6.69 g cm⁻³.

```
data_Nb3CuBi
_chemical_formula_sum 'Nb3 Cu1 Bi1'
_space_group_name_H-M_alt 'P m -3 m'
_space_group_IT_number 221
_space_group_name_Hall '-P 4 2 3'
_cell_length_a 5.152
_cell_length_b 5.152
_cell_length_c 5.152
_cell_angle_alpha 90.00
_cell_angle_beta 90.00
_cell_angle_gamma 90.00
loop_
_atom_site_label
_atom_site_type_symbol
_atom_site_fract_x
_atom_site_fract_y
_atom_site_fract_z
_atom_site_occupancy
Nb1 Nb 0.000 0.000 0.500 1
Cu1 Cu 0.500 0.500 0.500 1
Bi1 Bi 0.000 0.000 0.000 1
```


Entry 2:
La6PtRh2Br3: relaxed, PBE-GGA.

## Properties
As for the formation energy from raw total energies: -1.2440 eV/atom. For the total moment, the calculation gives 0.00 Bohr magnetons per cell. For the density of states at the Fermi level, the calculation gives 0.51 states/eV per atom. For the theoretical density, the calculation gives 6.68 g cm⁻³.

```
data_La6PtRh2Br3
_chemical_formula_sum 'La12 Pt2 Rh4 Br6'
_space_group_name_H-M_alt 'C 1 2/m 1'
_space_group_IT_number 12
_space_group_name_Hall '-C 2y'
_cell_length_a 7.311
_cell_length_b 12.663
_cell_length_c 8.287
_cell_angle_alpha 90.00
_cell_angle_beta 107.11
_cell_angle_gamma 90.00
loop_
_atom_site_label
_atom_site_type_symbol
_atom_site_fract_x
_atom_site_fract_y
_atom_site_fract_z
_atom_site_occupancy
La1 La 0.226 0.000 0.197 1
La2 La 0.236 0.330 0.197 1
Pt1 Pt 0.000 0.500 0.000 1
Rh1 Rh 0.000 0.167 0.000 1
Br1 Br 0.000 0.000 0.500 1
Br2 Br 0.000 0.333 0.500 1
```


Entry 3:
Ag2SeS2Br2: relaxed, PBE-GGA.

## Properties
As for the formation energy from raw total energies: 0.0455 eV/atom. For the total moment, the calculation gives 0.00 Bohr magnetons per cell. For the density of states at the Fermi level, the calculation gives 0.76 states/eV per atom. For the theoretical density, the calculation gives 4.46 g cm⁻³.

```
data_Ag2SeS2Br2
_chemical_formula_sum 'Ag4 Se2 S4 Br4'
_space_group_name_H-M_alt 'C 1 2/m 1'
_space_group_IT_number 12
_space_group_name_Hall '-C 2y'
_cell_length_a 8.790
_cell_length_b 4.547
_cell_length_c 10.011
_cell_angle_alpha 90.00
_cell_angle_beta 105.16
_cell_angle_gamma 90.00
loop_
_atom_site_label
_atom_site_type_symbol
_atom_site_fract_x
_atom_site_fract_y
_atom_site_fract_z
_atom_site_occupancy
Ag1 Ag 0.117 0.000 0.337 1
Se1 Se 0.000 0.500 0.000 1
S1 S 0.057 0.000 0.916 1
Br1 Br 0.198 0.000 0.637 1
```


Entry 4:
Ba3Li2H7: relaxed, PBE-GGA.

## Properties
For the total moment, the calculation gives 1.91 Bohr magnetons per cell. The calculation puts the polymorph energy (0 for the lowest one) at 4 meV/atom. For the density of states at the Fermi level, the calculation gives 0.33 states/eV per atom. For the theoretical density, the calculation gives 4.00 g cm⁻³.

```
data_Ba3Li2H7
_chemical_formula_sum 'Ba6 Li4 H14'
_space_group_name_H-M_alt 'I 4/m m m'
_space_group_IT_number 139
_space_group_name_Hall '-I 4 2'
_cell_length_a 4.038
_cell_length_b 4.038
_cell_length_c 22.022
_cell_angle_alpha 90.00
_cell_angle_beta 90.00
_cell_angle_gamma 90.00
loop_
_atom_site_label
_atom_site_type_symbol
_atom_site_fract_x
_atom_site_fract_y
_atom_site_fract_z
_atom_site_occupancy
Ba1 Ba 0.000 0.000 0.000 1
Ba2 Ba 0.000 0.000 0.180 1
Li1 Li 0.000 0.000 0.410 1
H1 H 0.000 0.000 0.308 1
H2 H 0.000 0.000 0.500 1
H3 H 0.000 0.500 0.091 1
```